[1]
{"formula": "Cu2SiAs", "functional": "PBE-GGA", "state": "optimized geometry", "spacegroup": "P4/mmm", "total_magnetization_mub_per_cell": 0.00, "energy_ev_per_cell": -17.24, "cell": [[-2.086, -2.118, 1.437], [1.176, -2.440, -1.888], [3.700, -1.109, 3.738]], "species": ["Cu", "Cu", "As", "Si"], "frac_coords": [[0.000, 0.000, 0.484], [0.000, 0.000, 0.016], [0.500, 0.500, 0.750], [0.500, 0.500, 0.250]]}


[2]
{"formula": "MgSc2AgHg4", "functional": "PBE-GGA", "state": "optimized geometry", "spacegroup": "R-3m", "total_magnetization_mub_per_cell": 0.00, "formation_energy_mev_per_atom": -320, "energy_ev_per_cell": -20.87, "cell": [[4.890, 0.000, 0.000], [2.445, 4.234, 0.000], [2.445, 1.411, 7.999]], "species": ["Sc", "Sc", "Hg", "Hg", "Hg", "Hg", "Ag", "Mg"], "frac_coords": [[0.248, 0.248, 0.255], [0.752, 0.752, 0.745], [0.876, 0.876, 0.372], [0.626, 0.626, 0.122], [0.124, 0.124, 0.628], [0.374, 0.374, 0.878], [0.500, 0.500, 0.500], [0.000, 0.000, 0.000]]}


[3]
{"formula": "Al2AgAu", "functional": "PBE-GGA", "state": "optimized geometry", "spacegroup": "P4/mmm", "total_magnetization_mub_per_cell": 0.00, "formation_energy_mev_per_atom": -104, "energy_ev_per_cell": -14.03, "cell": [[-2.912, 0.693, -0.299], [-0.734, -2.324, 1.763], [0.436, 4.436, 6.029]], "species": ["Ag", "Au", "Al", "Al"], "frac_coords": [[0.500, 0.500, 0.750], [0.500, 0.500, 0.250], [0.000, 0.000, 0.008], [0.000, 0.000, 0.492]]}


[4]
{"formula": "Rb2SmMg2Se4", "functional": "PBE-GGA", "state": "optimized geometry", "spacegroup": "C2/m", "total_magnetization_mub_per_cell": 0.78, "energy_ev_per_cell": -35.52, "cell": [[-3.092, -1.874, -2.289], [-0.386, -6.187, 5.587], [-3.662, 6.737, 3.431]], "species": ["Se", "Se", "Se", "Se", "Rb", "Rb", "Sm", "Mg", "Mg"], "frac_coords": [[0.797, 0.831, 0.595], [0.479, 0.237, 0.959], [0.203, 0.169, 0.405], [0.521, 0.763, 0.041], [0.125, 0.540, 0.251], [0.875, 0.460, 0.749], [0.000, 0.000, 0.000], [0.329, 0.023, 0.657], [0.671, 0.977, 0.343]]}